Entry 1:
# SmEr2In3Te6

A relaxed structure of SmEr2In3Te6 (PBE, the Alexandria database).

a = 7.6539 Å, b = 7.6539 Å, c = 8.5045 Å
α = 98.63°, β = 98.63°, γ = 120.00°
Last column: nearest neighbours and their distance in Å.
Positions (direct):
Sm1 0.0000 0.0000 0.0000  6 Te 3.15-3.16
Er1 0.3329 0.6671 0.0000  6 Te 3.08-3.09
Er2 0.6671 0.3329 0.0000  6 Te 3.08-3.09
In1 0.1643 0.8357 0.5000  6 Te 3.40-3.44
In2 0.8357 0.1643 0.5000  6 Te 3.40-3.44
In3 0.5000 0.5000 0.5000  6 Te 3.39-3.44
Te1 0.9266 0.5865 0.7802  2 Er 3.09, 1 Sm 3.16, 3 In 3.40-3.44
Te2 0.7322 0.7322 0.2175  2 Er 3.08, 1 Sm 3.15, 3 In 3.39-3.43
Te3 0.0734 0.4135 0.2198  2 Er 3.09, 1 Sm 3.16, 3 In 3.40-3.44
Te4 0.5865 0.9266 0.7802  2 Er 3.09, 1 Sm 3.16, 3 In 3.40-3.44
Te5 0.2678 0.2678 0.7825  2 Er 3.08, 1 Sm 3.15, 3 In 3.39-3.43
Te6 0.4135 0.0734 0.2198  2 Er 3.09, 1 Sm 3.16, 3 In 3.40-3.44

Computed properties:
Final energy, Ry per atom: -0.3214
Space group: C2/m
Uncorrected formation energy, eV per atom: -0.964
N(E_F), states/eV per cell: 1.086

=====

Entry 2:
# HgAu2Br

A relaxed structure of HgAu2Br (PBE, the Alexandria database).

a = 3.8134 Å, b = 4.0490 Å, c = 8.0994 Å
α = 119.26°, β = 90.00°, γ = 90.00°
Last column: nearest neighbours and their distance in Å.
Positions (direct):
Au1 0.0000 0.9806 0.1068  4 Au 2.78, 1 Br 2.84, 2 Hg 2.91
Au2 0.5000 0.4620 0.0878  4 Au 2.78, 2 Hg 2.89
Hg1 0.5000 0.6772 0.7962  2 Br 2.78, 4 Au 2.89-2.91
Br1 0.0000 0.3802 0.5091  2 Hg 2.78, 1 Au 2.84

Computed properties:
Final energy, Ry per atom: -0.1555
Space group: Pm
Uncorrected formation energy, eV per atom: 0.017
Energy above the most stable polymorph in this dataset, eV/atom: 0.000
N(E_F), states/eV per cell: 1.045

=====

Entry 3:
# LiCd5Hg4

A relaxed structure of LiCd5Hg4 (PBE, the Alexandria database).

a = 4.4727 Å, b = 6.2799 Å, c = 8.6364 Å
α = 104.15°, β = 105.01°, γ = 90.00°
Last column: nearest neighbours and their distance in Å.
Positions (direct):
Li1 0.5000 0.0000 0.0000  6 Hg 3.00-3.15, 6 Cd 3.14-3.25
Cd1 0.3020 0.4008 0.6039  6 Hg 3.07-3.24, 5 Cd 3.19-3.26
Cd2 0.1042 0.8062 0.2084  6 Hg 3.07-3.26, 4 Cd 3.17-3.19, 2 Li 3.25
Cd3 0.8958 0.1938 0.7916  6 Hg 3.07-3.26, 4 Cd 3.17-3.19, 2 Li 3.25
Cd4 0.5000 0.5000 0.0000  4 Hg 3.13, 2 Li 3.14, 6 Cd 3.17-3.20
Cd5 0.6980 0.5992 0.3961  6 Hg 3.07-3.24, 5 Cd 3.19-3.26
Hg1 0.6948 0.1086 0.3897  7 Cd 3.07-3.26, 1 Li 3.15, 4 Hg 3.25-3.39
Hg2 0.0861 0.2869 0.1721  2 Li 3.00, 7 Cd 3.08-3.24, 2 Hg 3.25
Hg3 0.3052 0.8914 0.6103  7 Cd 3.07-3.26, 1 Li 3.15, 4 Hg 3.25-3.39
Hg4 0.9139 0.7131 0.8279  2 Li 3.00, 7 Cd 3.08-3.24, 2 Hg 3.25

Computed properties:
Final energy, Ry per atom: -0.0609
Space group: C2/m
Formation energy from the elements, eV per formula unit: -0.586
Energy above the most stable polymorph in this dataset, eV/atom: 0.000
N(E_F), states/eV per cell: 3.414

=====

no.,calculated volume (Å³ per cell)
1,411.59
2,109.10
3,226.68